The following is a PBE+U calculation of an optimized crystal structure of GaMoN2O, from Alexandria.

Properties
The calculation puts the energy at -6.144 eV/atom. Its crystal system is tetragonal. The value obtained for the magnetization is 0.00 μB/f.u.

Lattice parameters (Å, degrees): 4.0134 4.0134 3.9223 90.00 90.00 90.00
With the nearest neighbours (Å) after each atom.
Atoms (fractional coordinates):
Ga: 0.5000 0.5000 0.5000  8 N 2.81, 4 O 2.84
O: 0.0000 0.0000 0.5000  2 Mo 1.96
N: 0.5000 0.0000 0.0000  2 Mo 2.01
N: 0.0000 0.5000 0.0000  2 Mo 2.01
Mo: 0.0000 0.0000 0.0000  2 O 1.96, 4 N 2.01